1.
Li2CaZnCl6, relaxed, DFT PBE; E_form (uncorrected) = -1730.1 meV/atom; total magnetic moment = 0.000 μB per atom; crystal system = trigonal; N(E_F) = 0.0000 states/eV per atom
1.0
3.255 1.879 5.957
-3.255 1.879 5.957
0.000 -3.758 5.957
Li Ca Zn Cl
2 1 1 6
Cartesian
0.000 0.000 0.000
0.000 0.000 8.932
0.000 0.000 12.461
0.000 0.000 3.495
-2.189 0.247 7.794
-1.013 -1.868 10.656
0.881 -2.019 7.794
-1.111 1.812 10.656
1.308 1.773 7.794
2.124 0.056 10.656

2.
Li2CaZnCl, relaxed, DFT PBE; E_form (uncorrected) = 4.3 meV/atom; total magnetic moment = 0.000 μB per atom; crystal system = tetragonal; N(E_F) = 0.6305 states/eV per atom
1.0
6.364 0.000 0.000
0.000 6.364 0.000
0.000 0.000 5.135
Li Ca Zn Cl
2 1 1 1
Cartesian
0.000 3.182 0.000
3.182 0.000 0.000
0.000 0.000 0.000
3.182 3.182 2.568
0.000 0.000 2.568

3.
Ca2LuCl, relaxed, DFT PBE; E_form (uncorrected) = -507.2 meV/atom; total magnetic moment = 0.002 μB per atom; crystal system = trigonal; N(E_F) = 1.1476 states/eV per atom
1.0
1.813 1.047 10.934
-1.813 1.047 10.934
0.000 -2.094 10.934
Ca Lu Cl
2 1 1
Cartesian
0.000 0.000 3.373
0.000 0.000 29.430
0.000 0.000 0.000
0.000 0.000 16.401

4.
CaMgCl2, relaxed, DFT PBE; E_form (uncorrected) = -1320.4 meV/atom; distance to the lowest polymorph of the same formula = 188.1 meV/atom; total magnetic moment = 0.000 μB per atom; crystal system = tetragonal; N(E_F) = 0.0000 states/eV per atom
1.0
-4.118 4.118 5.439
4.118 -4.118 5.439
4.118 4.118 -5.439
Ca Mg Cl
2 2 4
Cartesian
0.000 0.000 0.000
0.000 4.118 2.719
4.118 0.000 2.719
0.000 0.000 5.439
-0.895 2.059 1.360
2.059 3.224 4.079
0.895 6.177 1.360
-2.059 5.013 4.079

5.
Ca4MgCl, relaxed, DFT PBE; E_form (uncorrected) = 79.4 meV/atom; total magnetic moment = 0.000 μB per atom; crystal system = cubic; N(E_F) = 1.2144 states/eV per atom
1.0
0.000 4.955 4.955
4.955 0.000 4.955
4.955 4.955 0.000
Ca Mg Cl
4 1 1
Cartesian
3.728 3.728 3.728
6.181 6.181 3.728
6.181 3.728 6.181
3.728 6.181 6.181
7.432 7.432 7.432
0.000 0.000 0.000

6.
CaMgCl2, relaxed, DFT PBE; E_form (uncorrected) = -1361.7 meV/atom; distance to the lowest polymorph of the same formula = 146.8 meV/atom; total magnetic moment = 0.000 μB per atom; crystal system = monoclinic; N(E_F) = 0.0858 states/eV per atom
1.0
7.861 -1.777 0.000
7.861 1.777 0.000
-0.478 0.000 4.376
Ca Mg Cl
1 1 2
Cartesian
0.000 0.000 0.000
4.075 0.000 4.113
7.119 0.000 2.133
9.961 0.000 0.224

7.
CaMgCl4, relaxed, DFT PBE; E_form (uncorrected) = -416.3 meV/atom; distance to the lowest polymorph of the same formula = 1685.1 meV/atom; total magnetic moment = 0.308 μB per atom; crystal system = cubic; N(E_F) = 0.9259 states/eV per atom
1.0
0.000 4.268 4.268
4.268 0.000 4.268
4.268 4.268 0.000
Ca Mg Cl
1 1 4
Cartesian
0.000 0.000 0.000
2.134 2.134 2.134
5.334 3.203 3.203
3.203 5.334 3.203
3.203 3.203 5.334
5.334 5.334 5.334

8.
CaMg5Cl12, relaxed, DFT PBE; E_form (uncorrected) = -1935.9 meV/atom; total magnetic moment = 0.000 μB per atom; crystal system = monoclinic; N(E_F) = 0.0000 states/eV per atom
1.0
3.244 -5.624 0.000
3.244 5.624 0.000
-0.039 0.000 12.932
Ca Mg Cl
1 5 12
Cartesian
0.000 0.000 0.000
3.225 3.749 6.466
3.244 1.874 0.000
3.225 0.000 6.466
3.244 -1.874 0.000
3.225 -3.749 6.466
1.159 2.009 1.416
1.061 0.000 5.122
2.144 1.874 7.809
2.280 0.000 11.514
1.159 -2.009 1.416
4.306 1.874 5.123
2.144 -1.874 7.809
5.291 2.009 11.515
4.170 0.000 1.418
4.306 -1.874 5.123
5.388 0.000 7.810
5.291 -2.009 11.515